## La3Fe5F12 (GGA+U)

Data for La3Fe5F12 after structural relaxation.

a = 11.866 Å, b = 11.866 Å, c = 11.866 Å
α = 109.47°, β = 109.47°, γ = 109.47°
Sites, in units of the cell vectors:
La  0.125  0.250  0.875
La  0.625  0.375  0.750
La  0.750  0.375  0.125
La  0.875  0.750  0.125
La  0.375  0.625  0.250
La  0.750  0.875  0.625
La  0.125  0.875  0.750
La  0.875  0.125  0.250
La  0.625  0.250  0.375
La  0.250  0.125  0.375
La  0.375  0.750  0.625
La  0.250  0.625  0.875
Fe  0.250  0.875  0.125
Fe  0.375  0.125  0.750
Fe  0.625  0.875  0.250
Fe  0.250  0.375  0.625
Fe  0.125  0.750  0.375
Fe  0.000  0.000  0.000
Fe  0.000  0.000  0.500
Fe  0.625  0.750  0.875
Fe  0.000  0.500  0.500
Fe  0.500  0.500  0.000
Fe  0.500  0.000  0.000
Fe  0.875  0.625  0.750
Fe  0.875  0.250  0.625
Fe  0.125  0.375  0.250
Fe  0.000  0.500  0.000
Fe  0.500  0.000  0.500
Fe  0.375  0.250  0.125
Fe  0.500  0.500  0.500
Fe  0.750  0.625  0.375
Fe  0.750  0.125  0.875
F  0.579  0.638  0.412
F  0.862  0.274  0.441
F  0.667  0.441  0.579
F  0.079  0.167  0.441
F  0.167  0.079  0.941
F  0.079  0.912  0.138
F  0.362  0.421  0.088
F  0.559  0.333  0.921
F  0.579  0.941  0.667
F  0.862  0.588  0.921
F  0.941  0.362  0.274
F  0.059  0.421  0.833
F  0.362  0.941  0.774
F  0.559  0.226  0.138
F  0.588  0.862  0.421
F  0.921  0.088  0.862
F  0.441  0.774  0.862
F  0.059  0.638  0.726
F  0.921  0.833  0.559
F  0.088  0.167  0.226
F  0.912  0.079  0.638
F  0.421  0.059  0.333
F  0.333  0.774  0.412
F  0.138  0.412  0.079
F  0.588  0.726  0.667
F  0.167  0.088  0.726
F  0.333  0.559  0.421
F  0.421  0.362  0.588
F  0.412  0.274  0.333
F  0.274  0.862  0.941
F  0.088  0.921  0.362
F  0.833  0.921  0.059
F  0.412  0.138  0.579
F  0.726  0.588  0.167
F  0.667  0.226  0.588
F  0.274  0.412  0.833
F  0.138  0.726  0.559
F  0.226  0.667  0.088
F  0.833  0.912  0.274
F  0.226  0.559  0.638
F  0.638  0.059  0.226
F  0.912  0.833  0.774
F  0.726  0.138  0.059
F  0.441  0.667  0.079
F  0.638  0.579  0.912
F  0.941  0.579  0.167
F  0.774  0.333  0.912
F  0.774  0.441  0.362

Summary:
- Raw total energy: -5.57 eV/atom
- SG: Ia-3d, No. 230